# Tm2Hf3UN6, relaxed, DFT GGA-PBE
# Fermi-level density of states ... 0.472 states/eV/atom
# Calculated density ... 12.994 g cm⁻³
# Uncorrected formation energy ... -1.742 eV per atom
data_Tm2Hf3UN6
_cell_length_a 3.2796
_cell_length_b 6.6580
_cell_length_c 7.3854
_cell_angle_alpha 103.35
_cell_angle_beta 102.83
_cell_angle_gamma 90.00
_space_group_name_H-M_alt 'P 1'
_space_group_IT_number 1
loop_
_space_group_symop_operation_xyz
'x,y,z'
loop_
_atom_site_label
_atom_site_fract_x
_atom_site_fract_y
_atom_site_fract_z
U1 0.5000 0.0000 0.0000
N1 0.3365 0.4062 0.6730
N2 0.0037 0.7380 0.0073
N3 0.3303 0.9254 0.6605
N4 0.6697 0.0746 0.3395
N5 0.6635 0.5938 0.3270
N6 0.9963 0.2620 0.9927
Hf1 0.5000 0.5000 0.0000
Hf2 0.8314 0.1661 0.6629
Hf3 0.1686 0.8339 0.3371
Tm1 0.8317 0.6638 0.6635
Tm2 0.1683 0.3362 0.3365